A plane-wave DFT calculation with GGA+U was carried out for a relaxed NaHfCrO4 crystal.

**Total DFT energy (no corrections)**: -113.078 eV/cell
**Symmetry**: Imma, No. 74

Cell lengths 6.259, 6.311, 6.457 Å; angles 120.77, 90.00, 119.72 degrees
Element x y z (fractional)
1 Na 0.871 0.742 0.121
2 Na 0.129 0.258 0.879
3 Hf 0.500 0.000 0.500
4 Hf 0.500 0.000 0.000
5 Cr 0.500 0.500 0.500
6 Cr 0.000 0.500 0.500
7 O 0.734 0.468 0.691
8 O 0.300 0.031 0.266
9 O 0.731 0.031 0.266
10 O 0.734 0.468 0.277
11 O 0.266 0.532 0.723
12 O 0.700 0.969 0.734
13 O 0.269 0.969 0.734
14 O 0.266 0.532 0.309